# Pr2Ga4Ni3Pt

A geometry-optimized Pr2Ga4Ni3Pt structure (PBE, Alexandria).

Geometry as POSCAR:
```
Pr2Ga4Ni3Pt
1.0
4.154 0.000 0.000
0.000 4.154 0.000
0.000 0.000 10.338
Pr Ga Ni Pt
2 4 3 1
direct
0.000 0.500 0.242 Pr
0.500 0.000 0.758 Pr
0.000 0.000 0.000 Ga
0.000 0.500 0.637 Ga
0.500 0.000 0.363 Ga
0.500 0.500 0.000 Ga
0.000 0.500 0.872 Ni
0.500 0.000 0.128 Ni
0.500 0.500 0.500 Ni
0.000 0.000 0.500 Pt
```

Fermi-level density of states: 9.95 states/eV per cell
SG: P-4m2, No. 115
energy: -51.551 eV for the cell shown
calculated formation energy: -6.5 eV/f.u.

---

# BeSi3

A geometry-optimized BeSi3 structure (PBE, Alexandria).

Geometry as POSCAR:
```
BeSi3
1.0
2.505 0.000 0.000
0.000 3.340 0.000
0.000 0.000 6.558
Be Si
1 3
direct
0.000 0.000 0.000 Be
0.500 0.000 0.500 Si
0.500 0.500 0.203 Si
0.500 0.500 0.797 Si
```

Fermi-level density of states: 1.24 states/eV per cell
energy above the most stable polymorph in this dataset: 0.000 eV per atom
SG: Pmmm, No. 47
energy: -18.649 eV for the cell shown
ΔE_f (raw): 0.336 eV/atom

---

# ScBi2Au

A geometry-optimized ScBi2Au structure (PBE, Alexandria).

Geometry as POSCAR:
```
ScBi2Au
1.0
4.889 0.000 0.000
0.000 4.889 0.000
0.000 0.000 4.103
Sc Bi Au
1 2 1
direct
0.000 0.000 0.000 Sc
0.000 0.500 0.500 Bi
0.500 0.000 0.500 Bi
0.500 0.500 0.000 Au
```

Fermi-level density of states: 1.68 states/eV per cell
SG: P4/mmm, No. 123
energy: -18.658 eV for the cell shown
calculated formation energy: -1.3 eV/f.u.

---

# Al2TlSe

A geometry-optimized Al2TlSe structure (PBE, Alexandria).

Geometry as POSCAR:
```
Al2TlSe
1.0
3.633 0.000 0.000
0.000 4.529 0.000
0.000 0.000 5.483
Al Tl Se
2 1 1
direct
0.000 0.000 0.000 Al
0.500 0.000 0.500 Al
0.000 0.500 0.500 Tl
0.500 0.500 0.000 Se
```

Fermi-level density of states: 1.54 states/eV per cell
energy above the most stable polymorph in this dataset: 0.277 eV per atom
SG: Pmmm, No. 47
energy: -12.714 eV for the cell shown
ΔE_f (raw): 0.155 eV/atom

---

# ZrFe2W

A geometry-optimized ZrFe2W structure (PBE, Alexandria).

Geometry as POSCAR:
```
ZrFe2W
1.0
2.762 0.000 0.000
0.000 4.080 0.000
-1.247 0.000 5.405
Zr Fe W
1 2 1
direct
0.000 0.000 0.000 Zr
0.250 0.500 0.717 Fe
0.750 0.500 0.283 Fe
0.500 0.000 0.500 W
```

Fermi-level density of states: 4.16 states/eV per cell
SG: P2/m, No. 10
energy: -37.776 eV for the cell shown
calculated formation energy: 0.7 eV/f.u.

---

# CsNdI4

A geometry-optimized CsNdI4 structure (PBE, Alexandria).

Geometry as POSCAR:
```
CsNdI4
1.0
5.764 -9.270 0.000
5.764 9.270 0.000
-2.317 0.000 7.837
Cs Nd I
2 2 8
direct
0.244 0.756 0.750 Cs
0.756 0.244 0.250 Cs
0.066 0.934 0.250 Nd
0.934 0.066 0.750 Nd
0.003 0.641 0.299 I
0.096 0.213 0.138 I
0.213 0.096 0.638 I
0.359 0.997 0.201 I
0.641 0.003 0.799 I
0.787 0.904 0.362 I
0.904 0.787 0.862 I
0.997 0.359 0.701 I
```

Fermi-level density of states: 0.00 states/eV per cell
energy above the most stable polymorph in this dataset: 0.000 eV per atom
SG: C2/c, No. 15
energy: -41.276 eV for the cell shown
ΔE_f (raw): -1.469 eV/atom

---

# Pr2GaSnPd6

A geometry-optimized Pr2GaSnPd6 structure (PBE, Alexandria).

Geometry as POSCAR:
```
Pr2GaSnPd6
1.0
5.919 -2.793 0.000
5.919 2.793 0.000
-5.211 0.000 6.105
Pr Ga Sn Pd
2 1 1 6
direct
0.002 0.002 0.250 Pr
0.998 0.998 0.750 Pr
0.500 0.500 0.000 Ga
0.500 0.500 0.500 Sn
0.011 0.505 0.707 Pd
0.322 0.322 0.067 Pd
0.495 0.989 0.293 Pd
0.505 0.011 0.707 Pd
0.678 0.678 0.933 Pd
0.989 0.495 0.293 Pd
```

Fermi-level density of states: 4.87 states/eV per cell
SG: C2/m, No. 12
energy: -54.383 eV for the cell shown
calculated formation energy: -6.6 eV/f.u.

---

# MgTlCo2Hg

A geometry-optimized MgTlCo2Hg structure (PBE, Alexandria).

Geometry as POSCAR:
```
MgTlCo2Hg
1.0
4.917 0.000 0.000
0.000 4.917 0.000
0.000 0.000 5.234
Mg Tl Co Hg
1 1 2 1
direct
0.000 0.000 0.000 Mg
0.000 0.000 0.500 Tl
0.000 0.500 0.500 Co
0.500 0.000 0.500 Co
0.500 0.500 0.000 Hg
```

Fermi-level density of states: 4.97 states/eV per cell
SG: P4/mmm, No. 123
energy: -12.717 eV for the cell shown
calculated formation energy: 5.8 eV/f.u.

---

# HoTi2Pd9

A geometry-optimized HoTi2Pd9 structure (PBE, Alexandria).

Geometry as POSCAR:
```
HoTi2Pd9
1.0
3.991 0.000 0.000
0.000 3.991 0.000
0.000 0.000 11.949
Ho Ti Pd
1 2 9
direct
0.000 0.000 0.000 Ho
0.000 0.000 0.336 Ti
0.000 0.000 0.664 Ti
0.000 0.500 0.180 Pd
0.000 0.500 0.500 Pd
0.000 0.500 0.820 Pd
0.500 0.000 0.180 Pd
0.500 0.000 0.500 Pd
0.500 0.000 0.820 Pd
0.500 0.500 0.000 Pd
0.500 0.500 0.339 Pd
0.500 0.500 0.661 Pd
```

Fermi-level density of states: 2.72 states/eV per cell
SG: P4/mmm, No. 123
energy: -75.930 eV for the cell shown
calculated formation energy: -8.8 eV/f.u.

---

# Sr4HoSe5

A geometry-optimized Sr4HoSe5 structure (PBE, Alexandria).

Geometry as POSCAR:
```
Sr4HoSe5
1.0
-4.867 4.867 3.080
4.867 -4.867 3.080
4.867 4.867 -3.080
Sr Ho Se
4 1 5
direct
0.096 0.300 0.396 Sr
0.300 0.904 0.204 Sr
0.700 0.096 0.796 Sr
0.904 0.700 0.604 Sr
0.500 0.500 0.000 Ho
0.000 0.000 0.000 Se
0.215 0.595 0.810 Se
0.405 0.215 0.620 Se
0.595 0.785 0.380 Se
0.785 0.405 0.190 Se
```

Fermi-level density of states: 2.72 states/eV per cell
SG: I4/m, No. 87
energy: -48.361 eV for the cell shown
ΔE_f (raw): -1.963 eV/atom

---

# RbY3Hg

A geometry-optimized RbY3Hg structure (PBE, Alexandria).

Geometry as POSCAR:
```
RbY3Hg
1.0
5.510 0.000 0.000
0.000 5.510 0.000
0.000 0.000 5.510
Rb Y Hg
1 3 1
direct
0.000 0.000 0.000 Rb
0.000 0.000 0.500 Y
0.000 0.500 0.000 Y
0.500 0.000 0.000 Y
0.500 0.500 0.500 Hg
```

Fermi-level density of states: 7.13 states/eV per cell
energy above the most stable polymorph in this dataset: 0.968 eV per atom
SG: Pm-3m, No. 221
energy: -14.254 eV for the cell shown
calculated formation energy: 6.4 eV/f.u.

---

# TbPm8In2

A geometry-optimized TbPm8In2 structure (PBE, Alexandria).

Geometry as POSCAR:
```
TbPm8In2
1.0
8.685 -3.388 0.000
8.685 3.388 0.000
-1.403 0.000 6.056
Tb Pm In
1 8 2
direct
0.000 0.000 0.000 Tb
0.088 0.568 0.891 Pm
0.136 0.136 0.576 Pm
0.432 0.912 0.109 Pm
0.498 0.498 0.259 Pm
0.502 0.502 0.741 Pm
0.568 0.088 0.891 Pm
0.864 0.864 0.424 Pm
0.912 0.432 0.109 Pm
0.321 0.321 0.396 In
0.679 0.679 0.604 In
```

Fermi-level density of states: 15.71 states/eV per cell
SG: C2/m, No. 12
energy: -49.054 eV for the cell shown
calculated formation energy: -0.9 eV/f.u.

---

# YBi2Ir

A geometry-optimized YBi2Ir structure (PBE, Alexandria).

Geometry as POSCAR:
```
YBi2Ir
1.0
1.838 1.061 9.930
-1.838 1.061 9.930
0.000 -2.123 9.930
Y Bi Ir
1 2 1
direct
0.000 0.000 0.000 Y
0.107 0.107 0.107 Bi
0.893 0.893 0.893 Bi
0.500 0.500 0.500 Ir
```

Fermi-level density of states: 2.25 states/eV per cell
energy above the most stable polymorph in this dataset: 0.149 eV per atom
SG: R-3m, No. 166
energy: -22.495 eV for the cell shown
calculated formation energy: 0.6 eV/f.u.

---

# ZnTcNi2

A geometry-optimized ZnTcNi2 structure (PBE, Alexandria).

Geometry as POSCAR:
```
ZnTcNi2
1.0
0.000 2.926 2.926
2.926 0.000 2.926
2.926 2.926 0.000
Zn Tc Ni
1 1 2
direct
0.000 0.000 0.000 Zn
0.750 0.750 0.750 Tc
0.250 0.250 0.250 Ni
0.500 0.500 0.500 Ni
```

Fermi-level density of states: 5.18 states/eV per cell
SG: F-43m, No. 216
energy: -22.678 eV for the cell shown
calculated formation energy: 0.5 eV/f.u.

---

# SiOsCl2

A geometry-optimized SiOsCl2 structure (PBE, Alexandria).

Geometry as POSCAR:
```
SiOsCl2
1.0
1.444 -2.732 0.000
1.444 2.732 0.000
0.000 0.000 8.890
Si Os Cl
1 1 2
direct
0.000 0.000 0.000 Si
0.000 0.000 0.500 Os
0.500 0.500 0.283 Cl
0.500 0.500 0.717 Cl
```

Fermi-level density of states: 2.37 states/eV per cell
energy above the most stable polymorph in this dataset: 0.911 eV per atom
SG: Cmmm, No. 65
energy: -17.493 eV for the cell shown
ΔE_f (raw): 0.713 eV/atom

---

It is found that the magnetic moment values, taken in the order of the records, are 0.00 0.00 0.00 0.00 3.24 0.00 0.00 3.66 0.00 0.00 0.00 0.00 0.00 0.81 0.00 μB per formula unit.